Record 1
K2CoCl: relaxed, PBE.

a = 4.3992 Å, b = 4.3992 Å, c = 25.5896 Å
α = 90.00°, β = 90.00°, γ = 120.00°
Space group R3m (No. 160, hexagonal axes)
Unique sites:
K: 0.0000 0.0000 0.0000
K: 0.0000 0.0000 0.1853
Co: 0.0000 0.0000 0.4259
Cl: 0.0000 0.0000 0.5925

Relative energy among the computed polymorphs   48 meV/atom
E_tot   -35.3 eV per cell
E_form (uncorrected)   -0.15 eV/atom

=====

Record 2
K2Co3Cl8: relaxed, PBE.

a = 14.875 Å, b = 7.381 Å, c = 6.387 Å
α = 90.00°, β = 107.08°, γ = 90.00°
Space group C2/m (No. 12)
Unique sites:
K: 0.235 0.000 0.173
Co: 0.000 0.246 0.500
Co: 0.000 0.500 0.000
Cl: 0.091 0.270 0.885
Cl: 0.094 0.500 0.398
Cl: 0.101 0.000 0.457

E_tot   -101.5 eV per cell
E_form (uncorrected)   -0.96 eV/atom